Density functional theory data (PBE with a Hubbard U) for a relaxed structure of Cs2CaV2O7.

a = 10.7474 Å, b = 6.2176 Å, c = 15.7109 Å
α = 90.00°, β = 116.90°, γ = 90.00°
Closest atoms and distances in Å follow each position.
Space group P2_1/c (No. 14)
Unique sites:
1 Cs 0.0052 0.2304 0.1383 (multiplicity 4)  9 O 3.12-3.38, 1 V 3.49
2 Cs 0.4694 0.2337 0.3316 (multiplicity 4)  8 O 3.15-3.50
3 Ca 0.2656 0.2445 0.5176 (multiplicity 4)  6 O 2.37-2.44
4 V 0.1641 0.7384 0.1347 (multiplicity 4)  4 O 1.72-1.84
5 V 0.3297 0.7354 0.3789 (multiplicity 4)  4 O 1.71-1.84
6 O 0.0142 0.2193 0.4306 (multiplicity 4)  1 V 1.72
7 O 0.1958 0.7008 0.7572 (multiplicity 4)  2 V 1.84
8 O 0.2280 0.5494 0.5962 (multiplicity 4)  1 V 1.72
9 O 0.2442 0.5009 0.1310 (multiplicity 4)  1 V 1.72
10 O 0.2890 0.0111 0.9096 (multiplicity 4)  1 V 1.72
11 O 0.3163 0.5635 0.9488 (multiplicity 4)  1 V 1.71
12 O 0.4911 0.7296 0.3807 (multiplicity 4)  1 V 1.72

Properties
total energy	-6.68	eV/atom
magnetization	0.0	μB/f.u.